VASP calculation (PBE-GGA) on crystalline HoHfFe4 at its relaxed geometry.

For the formation energy, the calculation gives -119 kJ/mol of formula units. The total DFT energy (no corrections) comes out at -198.46 eV per cell.

The structure belongs to space group F-43m (No. 216); the cell edges are 7.1099, 7.1099 and 7.1099 Å and the angles 90.00°, 90.00° and 90.00°. The inequivalent atoms are Ho at (0.0000, 0.0000, 0.0000), Hf at (0.2500, 0.2500, 0.2500) and Fe at (0.1246, 0.1246, 0.6246).